1.
{
  "formula": "ScSiRu3",
  "functional": "PBE",
  "state": "optimized geometry",
  "cell": [[4.563, 0.000, 0.000], [0.000, 4.563, 0.000], [0.000, 0.000, 4.563]],
  "species": ["Sc", "Si", "Ru", "Ru", "Ru"],
  "frac_coords": [[0.000, 0.000, 0.000], [0.500, 0.500, 0.500], [0.000, 0.000, 0.500], [0.000, 0.500, 0.000], [0.500, 0.000, 0.000]],
  "e_above_lowest_polymorph_ev_per_atom": 1.600,
  "sg": "Pm-3m",
  "magmom_total_mub_per_cell": 1.12
}



2.
{
  "formula": "Ho6IrPt5",
  "functional": "PBE",
  "state": "optimized geometry",
  "cell": [[7.782, -3.433, 0.000], [7.782, 3.433, 0.000], [-1.545, 0.000, 4.677]],
  "species": ["Ho", "Ho", "Ho", "Ho", "Ho", "Ho", "Ir", "Pt", "Pt", "Pt", "Pt", "Pt"],
  "frac_coords": [[0.084, 0.587, 0.335], [0.247, 0.753, 0.000], [0.413, 0.916, 0.665], [0.587, 0.084, 0.335], [0.753, 0.247, 0.000], [0.916, 0.413, 0.665], [0.000, 0.000, 0.500], [0.166, 0.166, 0.166], [0.332, 0.332, 0.833], [0.500, 0.500, 0.500], [0.668, 0.668, 0.167], [0.834, 0.834, 0.834]],
  "delta_e_f_ev_per_fu": -14.2,
  "sg": "C2/m",
  "magmom_total_mub_per_cell": 0.00
}